The following is a DFT calculation (PBE) of an optimized crystal structure of Pm4DyLu.

Cell and atoms, written as CIF:
```
data_Pm4DyLu
_cell_length_a 6.628
_cell_length_b 6.628
_cell_length_c 6.628
_cell_angle_alpha 60.00
_cell_angle_beta 60.00
_cell_angle_gamma 60.00
_symmetry_space_group_name_H-M 'P 1'
_symmetry_Int_Tables_number 1
_symmetry_space_group_name_Hall 'P 1'
loop_
_atom_site_label
_atom_site_fract_x
_atom_site_fract_y
_atom_site_fract_z
Pm1 0.124 0.625 0.625
Dy1 0.250 0.250 0.250
Pm2 0.625 0.124 0.625
Pm3 0.625 0.625 0.124
Lu1 0.000 0.000 0.000
Pm4 0.625 0.625 0.625
```

Formation energy from the elements, eV per atom: 0.26
Crystal system: cubic
DOS at the Fermi energy, states/eV/f.u.: 9.669

***

The following is a DFT calculation (PBE) of an optimized crystal structure of PmDyLu2.

Cell and atoms, written as CIF:
```
data_PmDyLu2
_cell_length_a 3.538
_cell_length_b 3.538
_cell_length_c 9.930
_cell_angle_alpha 90.00
_cell_angle_beta 90.00
_cell_angle_gamma 90.00
_symmetry_space_group_name_H-M 'P 1'
_symmetry_Int_Tables_number 1
_symmetry_space_group_name_Hall 'P 1'
loop_
_atom_site_label
_atom_site_fract_x
_atom_site_fract_y
_atom_site_fract_z
Lu1 0.000 0.000 0.746
Pm1 0.500 0.500 0.000
Dy1 0.500 0.500 0.500
Lu2 0.000 0.000 0.254
```

Formation energy from the elements, eV per atom: 0.03
Crystal system: tetragonal
Polymorph energy (0 for the lowest one), kJ/mol of atoms: 0.2
DOS at the Fermi energy, states/eV/f.u.: 6.284

***

The following is a DFT calculation (PBE) of an optimized crystal structure of Pm2DyLu.

Cell and atoms, written as CIF:
```
data_Pm2DyLu
_cell_length_a 3.580
_cell_length_b 3.580
_cell_length_c 11.754
_cell_angle_alpha 81.24
_cell_angle_beta 81.24
_cell_angle_gamma 60.00
_symmetry_space_group_name_H-M 'P 1'
_symmetry_Int_Tables_number 1
_symmetry_space_group_name_Hall 'P 1'
loop_
_atom_site_label
_atom_site_fract_x
_atom_site_fract_y
_atom_site_fract_z
Dy1 0.000 0.000 0.000
Pm1 0.751 0.751 0.747
Lu1 0.500 0.500 0.500
Pm2 0.249 0.249 0.253
```

Formation energy from the elements, eV per atom: 0.02
Crystal system: trigonal
Polymorph energy (0 for the lowest one), kJ/mol of atoms: 0.0
DOS at the Fermi energy, states/eV/f.u.: 4.544

***

Among the records above, which one has the lowest formation energy from the elements?
Pm2DyLu

***

Which value of DOS at the Fermi energy does entry 3 give?
4.544 states/eV/f.u.